Entry from the Alexandria database: an optimized crystal structure of CdNi2W (PBE).

The magnetization comes out at 0.000 μB/f.u. The calculation puts the total energy at -24.51 eV per cell. For the energy relative to the elements, the calculation gives 0.23 eV per atom.

The structure belongs to space group P4/mmm (No. 123); the cell edges are 4.5906, 4.5906 and 2.7088 Å and the angles 90.00°, 90.00° and 90.00°. The distinct sites, in fractional coordinates, are Cd at (0.0000, 0.0000, 0.0000), Ni at (0.0000, 0.5000, 0.5000) and W at (0.5000, 0.5000, 0.0000).